Material: CeMn4Cu3O12
Method: DFT, PBE+U
State: optimized geometry

Summary:
**Volume**: 10.4 A^3/atom
**Total DFT energy (no corrections)**: -6.835 eV per atom

Geometry as CIF:
```
data_CeMn4Cu3O12
_cell_length_a 6.464
_cell_length_b 6.464
_cell_length_c 6.464
_cell_angle_alpha 109.47
_cell_angle_beta 109.47
_cell_angle_gamma 109.47
_symmetry_space_group_name_H-M 'P 1'
_symmetry_Int_Tables_number 1
loop_
_symmetry_equiv_pos_as_xyz
'x,y,z'
loop_
_atom_site_label
_atom_site_fract_x
_atom_site_fract_y
_atom_site_fract_z
Ce1 0.000 0.000 0.000
Mn1 0.000 0.000 0.500
Mn2 0.000 0.500 0.000
Mn3 0.500 0.000 0.000
Mn4 0.500 0.500 0.500
Cu1 0.000 0.500 0.500
Cu2 0.500 0.000 0.500
Cu3 0.500 0.500 0.000
O1 0.133 0.831 0.301
O2 0.169 0.301 0.470
O3 0.169 0.699 0.867
O4 0.301 0.133 0.831
O5 0.301 0.470 0.169
O6 0.470 0.169 0.301
O7 0.530 0.831 0.699
O8 0.699 0.530 0.831
O9 0.699 0.867 0.169
O10 0.831 0.301 0.133
O11 0.831 0.699 0.530
O12 0.867 0.169 0.699
```